1.
## CePaSi2Rh5 (GGA-PBE)

Data for a geometry-optimized CePaSi2Rh5 structure.

a = 4.006 Å, b = 4.006 Å, c = 10.992 Å
α = 90.00°, β = 90.00°, γ = 90.00°
Element x y z (fractional)
Ce1 0.000 0.000 0.000
Pa1 0.000 0.000 0.500
Si1 0.500 0.500 0.213
Si2 0.500 0.500 0.787
Rh1 0.000 0.500 0.326
Rh2 0.000 0.500 0.674
Rh3 0.500 0.000 0.326
Rh4 0.500 0.000 0.674
Rh5 0.500 0.500 0.000

Values from the calculation:
The value obtained for the uncorrected formation energy is -0.757 eV per atom. The total energy is -7.7604 eV per atom. The value obtained for the total magnetization is 0.63 Bohr magnetons per cell.

=====

2.
## AcMgGeO (GGA-PBE)

Data for a geometry-optimized AcMgGeO structure.

a = 4.340 Å, b = 4.340 Å, c = 9.664 Å
α = 90.00°, β = 90.00°, γ = 90.00°
Element x y z (fractional)
Ac1 0.250 0.250 0.127
Ac2 0.750 0.750 0.873
Mg1 0.250 0.750 0.500
Mg2 0.750 0.250 0.500
Ge1 0.250 0.250 0.676
Ge2 0.750 0.750 0.324
O1 0.250 0.750 0.000
O2 0.750 0.250 0.000

Values from the calculation:
The value obtained for the uncorrected formation energy is -1.607 eV per atom. The total energy is -5.4262 eV per atom. The value obtained for the total magnetization is 0.00 Bohr magnetons per cell.

=====

3.
## Ac2DyMg3Cd12 (GGA-PBE)

Data for a geometry-optimized Ac2DyMg3Cd12 structure.

a = 7.911 Å, b = 7.911 Å, c = 7.911 Å
α = 86.32°, β = 86.32°, γ = 86.32°
Element x y z (fractional)
Ac1 0.208 0.208 0.208
Ac2 0.792 0.792 0.792
Dy1 0.500 0.500 0.500
Mg1 0.000 0.500 0.500
Mg2 0.500 0.000 0.500
Mg3 0.500 0.500 0.000
Cd1 0.083 0.083 0.634
Cd2 0.083 0.634 0.083
Cd3 0.217 0.702 0.702
Cd4 0.298 0.298 0.783
Cd5 0.298 0.783 0.298
Cd6 0.366 0.917 0.917
Cd7 0.634 0.083 0.083
Cd8 0.702 0.217 0.702
Cd9 0.702 0.702 0.217
Cd10 0.783 0.298 0.298
Cd11 0.917 0.366 0.917
Cd12 0.917 0.917 0.366

Values from the calculation:
The total energy is -1.6206 eV per atom. The value obtained for the total magnetization is 0.00 Bohr magnetons per cell. The value obtained for the formation enthalpy at 0 K is -0.03 eV per atom.

=====

4.
## LiIr2Au (GGA-PBE)

Data for a geometry-optimized LiIr2Au structure.

a = 4.376 Å, b = 4.376 Å, c = 4.376 Å
α = 60.00°, β = 60.00°, γ = 60.00°
Element x y z (fractional)
Li1 0.000 0.000 0.000
Ir1 0.250 0.250 0.250
Ir2 0.750 0.750 0.750
Au1 0.500 0.500 0.500

Values from the calculation:
The total energy is -5.3313 eV per atom. The value obtained for the total magnetization is 0.00 Bohr magnetons per cell. The value obtained for the formation enthalpy at 0 K is 0.40 eV per atom.